CaLa2Pr4Nd2: relaxed, PBE-GGA.

abc: 9.9652 9.9652 10.0845
angles: 115.31 115.31 21.62
With the nearest neighbours (Å) after each atom.
Fractional positions:
Ca: 0.0000 0.0000 0.0000  2 Ca 3.74, 6 Pr 3.76-3.79, 4 La 3.83
La: 0.3296 0.3296 0.0018  4 La 3.62-3.74, 3 Nd 3.68, 3 Pr 3.79-3.80, 2 Ca 3.83
La: 0.6704 0.6704 0.9982  4 La 3.62-3.74, 3 Nd 3.68, 3 Pr 3.79-3.80, 2 Ca 3.83
Pr: 0.1866 0.1866 0.3376  6 Pr 3.65-3.79, 3 Nd 3.71-3.75, 1 Ca 3.76, 2 La 3.79
Pr: 0.4811 0.4811 0.6586  5 Pr 3.58-3.79, 4 Nd 3.67-3.74, 2 Ca 3.79, 1 La 3.80
Pr: 0.5189 0.5189 0.3414  5 Pr 3.58-3.79, 4 Nd 3.67-3.74, 2 Ca 3.79, 1 La 3.80
Pr: 0.8134 0.8134 0.6624  6 Pr 3.65-3.79, 3 Nd 3.71-3.75, 1 Ca 3.76, 2 La 3.79
Nd: 0.1485 0.1485 0.6673  7 Pr 3.67-3.75, 3 La 3.68, 2 Nd 3.74
Nd: 0.8515 0.8515 0.3327  7 Pr 3.67-3.75, 3 La 3.68, 2 Nd 3.74

Output
- Size of the total moment: 0.0 μB/cell
- Total DFT energy (no corrections): -40.29 eV for the cell shown
- Energy of formation from the pure elements: 2.4 kJ/mol of atoms